Record 1
Material: Zr4MoC5
Method: DFT, GGA-PBE
State: relaxed

Cell: 13.5370 13.5370 13.5370 Å, 13.96 13.96 13.96°
Closest atoms and distances in Å follow each position.
Fractional positions:
Zr 0.8978 0.8978 0.8978  6 C 2.33-2.36
C 0.8039 0.8039 0.8039  3 Mo 2.24, 3 Zr 2.36
C 0.4021 0.4021 0.4021  6 Zr 2.33-2.36
C 0.0000 0.0000 0.0000  6 Zr 2.34
C 0.1961 0.1961 0.1961  3 Mo 2.24, 3 Zr 2.36
Zr 0.1022 0.1022 0.1022  6 C 2.33-2.36
C 0.5979 0.5979 0.5979  6 Zr 2.33-2.36
Mo 0.5000 0.5000 0.5000  6 C 2.24
Zr 0.7007 0.7007 0.7007  6 C 2.34-2.36
Zr 0.2993 0.2993 0.2993  6 C 2.34-2.36

***

Record 2
Material: Pr8RuPt3Br4
Method: DFT, GGA-PBE
State: relaxed

Output
For the uncorrected formation energy, the calculation gives -1.145 eV per atom.

Cell: 8.4639 9.2227 8.4633 Å, 117.34 120.01 90.00°
Closest atoms and distances in Å follow each position.
Fractional positions:
Pt 0.0000 0.5000 0.5000  6 Pr 2.89-2.92
Pr 0.2675 0.3027 0.5349  3 Pt 2.89
Pt 0.5000 0.5000 0.5000  6 Pr 2.89-2.92
Pr 0.7721 0.3025 0.5442  1 Ru 2.83, 2 Pt 2.92
Br 0.0000 0.0000 0.0000  6 Pr 3.38-3.40
Pr 0.7721 0.3025 0.0301  1 Ru 2.83, 2 Pt 2.92
Pr 0.7325 0.6973 0.4651  3 Pt 2.89
Pr 0.2580 0.3025 0.0301  1 Ru 2.83, 2 Pt 2.92
Pr 0.7420 0.6975 0.9699  1 Ru 2.83, 2 Pt 2.92
Br 0.5000 0.0000 0.0000  6 Pr 3.45
Ru 0.0000 0.5000 0.0000  6 Pr 2.83
Pr 0.2279 0.6975 0.4558  1 Ru 2.83, 2 Pt 2.92
Br 0.0000 0.0000 0.5000  6 Pr 3.37-3.40
Br 0.5000 0.0000 0.5000  6 Pr 3.37-3.40
Pt 0.5000 0.5000 0.0000  6 Pr 2.89-2.92
Pr 0.2279 0.6975 0.9699  1 Ru 2.83, 2 Pt 2.92

***

Record 3
Material: SiBiPd2O
Method: DFT, GGA-PBE
State: relaxed

Output
For the uncorrected formation energy, the calculation gives -0.170 eV per atom.

Cell: 5.0455 5.0455 3.3713 Å, 90.00 90.00 90.00°
Closest atoms and distances in Å follow each position.
Fractional positions:
Si 0.0000 0.0000 0.5000  2 O 1.69
Pd 0.0000 0.5000 0.0000  2 O 2.52
Bi 0.5000 0.5000 0.5000  8 Pd 3.03, 2 Bi 3.37
O 0.0000 0.0000 0.0000  2 Si 1.69
Pd 0.5000 0.0000 0.0000  2 O 2.52

***

Number 1: M_tot 0.00 Bohr magnetons per cell, E -9.724 eV per atom. Number 2: M_tot 0.00 Bohr magnetons per cell, E -5.666 eV per atom. Number 3: M_tot 0.00 Bohr magnetons per cell, E -5.100 eV per atom.